[1]
TiH3CO5 | SCAN | single point on PBEsol structure

Unit cell a=15.837 b=10.810 c=9.255 alpha=90.00 beta=90.00 gamma=90.00
Space group Cmce (No. 64)
One atom of each set of equivalent atoms:
Ti 0.183 0.145 0.100 (multiplicity 16)
H 0.084 0.042 0.426 (multiplicity 16)
H 0.109 0.177 0.787 (multiplicity 16)
H 0.141 0.113 0.632 (multiplicity 16)
C 0.000 0.107 0.172 (multiplicity 8)
C 0.000 0.161 0.018 (multiplicity 8)
O 0.071 0.085 0.228 (multiplicity 16)
O 0.071 0.179 0.962 (multiplicity 16)
O 0.119 0.000 0.500 (multiplicity 8)
O 0.136 0.190 0.691 (multiplicity 16)
O 0.186 0.000 0.000 (multiplicity 8)
O 0.250 0.104 0.250 (multiplicity 8)
O 0.250 0.250 0.000 (multiplicity 8)

Calculated values
- Uncorrected energy: -0.31246 hartree per atom


[2]
TlHC2O4 | SCAN | single point on PBEsol structure

Unit cell a=10.202 b=6.373 c=6.235 alpha=90.00 beta=94.12 gamma=90.00
Space group P2_1/c (No. 14)
One atom of each set of equivalent atoms:
Tl 0.208 0.040 0.439 (multiplicity 4)
H 0.290 0.554 0.435 (multiplicity 4)
C 0.058 0.538 0.436 (multiplicity 4)
C 0.488 0.586 0.413 (multiplicity 4)
O 0.035 0.656 0.277 (multiplicity 4)
O 0.171 0.029 0.007 (multiplicity 4)
O 0.366 0.638 0.362 (multiplicity 4)
O 0.419 0.169 0.171 (multiplicity 4)

Calculated values
- Uncorrected energy: -0.59592 hartree per atom


[3]
TmH3C3O6 | SCAN | single point on PBEsol structure

Unit cell a=10.2430 b=10.2430 c=3.8695 alpha=90.00 beta=90.00 gamma=120.00
Space group R3m (No. 160, hexagonal axes)
One atom of each set of equivalent atoms:
Tm 0.0000 0.0000 0.0000 (multiplicity 3)
H 0.0113 0.5057 0.1568 (multiplicity 9)
C 0.1793 0.3585 0.2158 (multiplicity 9)
O 0.0738 0.5369 0.6480 (multiplicity 9)
O 0.1665 0.0832 0.4926 (multiplicity 9)

Calculated values
- Uncorrected energy: -0.42438 hartree per atom


[4]
HWCO2 | SCAN | single point on PBEsol structure

Unit cell a=3.787 b=3.787 c=4.211 alpha=90.00 beta=90.00 gamma=90.00
Space group P4/mmm (No. 123)
One atom of each set of equivalent atoms:
H 0.000 0.000 0.000 (multiplicity 1)
W 0.500 0.500 0.500 (multiplicity 1)
C 0.500 0.500 0.000 (multiplicity 1)
O 0.000 0.500 0.500 (multiplicity 2)

Calculated values
- Uncorrected energy: -0.70025 hartree per atom


[5]
YH2C2O6 | SCAN | single point on PBEsol structure

Unit cell a=14.946 b=7.709 c=9.519 alpha=90.00 beta=90.00 gamma=90.00
Space group Cmcm (No. 63)
One atom of each set of equivalent atoms:
Y 0.208 0.000 0.000 (multiplicity 8)
H 0.101 0.392 0.003 (multiplicity 16)
C 0.000 0.100 0.005 (multiplicity 8)
C 0.224 0.193 0.750 (multiplicity 8)
O 0.075 0.173 0.009 (multiplicity 16)
O 0.137 0.500 0.000 (multiplicity 8)
O 0.179 0.049 0.750 (multiplicity 8)
O 0.247 0.255 0.630 (multiplicity 16)

Calculated values
- Uncorrected energy: -0.37994 hartree per atom


[6]
YH7C4O11 | SCAN | single point on PBEsol structure

Unit cell a=8.689 b=8.689 c=12.448 alpha=90.00 beta=90.00 gamma=90.00
Space group P4_2/n (No. 86, origin choice 2)
One atom of each set of equivalent atoms:
Y 0.250 0.750 0.206 (multiplicity 4)
H 0.052 0.257 0.086 (multiplicity 8)
H 0.071 0.176 0.966 (multiplicity 8)
H 0.159 0.738 0.468 (multiplicity 8)
H 0.250 0.250 0.034 (multiplicity 4)
C 0.023 0.467 0.202 (multiplicity 8)
C 0.024 0.452 0.694 (multiplicity 8)
O 0.011 0.864 0.144 (multiplicity 8)
O 0.030 0.875 0.645 (multiplicity 8)
O 0.042 0.660 0.818 (multiplicity 8)
O 0.051 0.666 0.333 (multiplicity 8)
O 0.123 0.195 0.038 (multiplicity 8)
O 0.250 0.750 0.014 (multiplicity 4)

Calculated values
- Uncorrected energy: -0.31091 hartree per atom


[7]
ZnH4C2O6 | SCAN | single point on PBEsol structure

Unit cell a=12.063 b=5.471 c=9.584 alpha=90.00 beta=127.91 gamma=90.00
Space group C2/c (No. 15)
One atom of each set of equivalent atoms:
Zn 0.000 0.081 0.250 (multiplicity 4)
H 0.154 0.150 0.141 (multiplicity 8)
H 0.240 0.389 0.645 (multiplicity 8)
C 0.052 0.418 0.853 (multiplicity 8)
O 0.090 0.213 0.929 (multiplicity 8)
O 0.091 0.377 0.429 (multiplicity 8)
O 0.167 0.066 0.243 (multiplicity 8)

Calculated values
- Uncorrected energy: -0.28457 hartree per atom


[8]
ZnH6C2O6 | SCAN | single point on PBEsol structure

Unit cell a=8.600 b=7.021 c=9.275 alpha=90.00 beta=97.82 gamma=90.00
Space group P2_1/c (No. 14)
One atom of each set of equivalent atoms:
Zn 0.000 0.000 0.000 (multiplicity 2)
Zn 0.500 0.000 0.500 (multiplicity 2)
H 0.031 0.156 0.272 (multiplicity 4)
H 0.176 0.040 0.625 (multiplicity 4)
H 0.202 0.100 0.230 (multiplicity 4)
H 0.261 0.622 0.457 (multiplicity 4)
H 0.289 0.104 0.989 (multiplicity 4)
H 0.423 0.722 0.732 (multiplicity 4)
C 0.175 0.605 0.077 (multiplicity 4)
C 0.467 0.211 0.218 (multiplicity 4)
O 0.062 0.714 0.095 (multiplicity 4)
O 0.092 0.132 0.188 (multiplicity 4)
O 0.220 0.010 0.929 (multiplicity 4)
O 0.288 0.653 0.008 (multiplicity 4)
O 0.400 0.091 0.291 (multiplicity 4)
O 0.412 0.241 0.589 (multiplicity 4)

Calculated values
- Uncorrected energy: -0.26460 hartree per atom